A relaxed RbRh2N2 crystal. Source: the Alexandria database, functional GGA-PBE.

As for the energy above the most stable polymorph in this dataset: 0.706 eV per atom.

It has space group P4/mbm (No. 127), with a = 7.5785 Å, b = 7.5785 Å, c = 2.8447 Å, α = 90.00°, β = 90.00° and γ = 90.00°. Symmetry generates all atoms from Rb at (0.0000, 0.0000, 0.0000), Rh at (0.1150, 0.3850, 0.0000) and N at (0.1052, 0.6052, 0.5000).

---

A relaxed HoSc2In2Hg2 crystal. Source: the Alexandria database, functional GGA-PBE.

The value obtained for the formation enthalpy at 0 K is -0.243 eV per atom.

It has space group R-3m (No. 166, hexagonal axes), with a = 4.8057 Å, b = 4.8057 Å, c = 25.5115 Å, α = 90.00°, β = 90.00° and γ = 120.00°. Symmetry generates all atoms from Ho at (0.0000, 0.0000, 0.0000), Sc at (0.0000, 0.0000, 0.1354), In at (0.0000, 0.0000, 0.2670) and Hg at (0.0000, 0.0000, 0.4370).

---

A relaxed SiTc2Pb crystal. Source: the Alexandria database, functional GGA-PBE.

As for the energy above the most stable polymorph in this dataset: 0.447 eV per atom.

It has space group I-4m2 (No. 119), with a = 3.9146 Å, b = 3.9146 Å, c = 8.5988 Å, α = 90.00°, β = 90.00° and γ = 90.00°. Symmetry generates all atoms from Si at (0.0000, 0.0000, 0.0000), Tc at (0.0000, 0.0000, 0.5000), Tc at (0.0000, 0.5000, 0.7500) and Pb at (0.0000, 0.5000, 0.2500).

---

A relaxed NpCuSnAu crystal. Source: the Alexandria database, functional GGA-PBE.

The value obtained for the formation enthalpy at 0 K is 0.137 eV per atom.

It has space group F-43m (No. 216), with a = 6.9354 Å, b = 6.9354 Å, c = 6.9354 Å, α = 90.00°, β = 90.00° and γ = 90.00°. Symmetry generates all atoms from Np at (0.0000, 0.0000, 0.0000), Cu at (0.2500, 0.2500, 0.2500), Sn at (0.2500, 0.2500, 0.7500) and Au at (0.0000, 0.0000, 0.5000).

---

A relaxed TcH3Se crystal. Source: the Alexandria database, functional GGA-PBE.

As for the energy above the most stable polymorph in this dataset: 0.000 eV per atom.

It has space group Pm-3m (No. 221), with a = 3.5504 Å, b = 3.5504 Å, c = 3.5504 Å, α = 90.00°, β = 90.00° and γ = 90.00°. Symmetry generates all atoms from Tc at (0.0000, 0.0000, 0.0000), H at (0.0000, 0.0000, 0.5000) and Se at (0.5000, 0.5000, 0.5000).

---

A relaxed Ho3MnC3 crystal. Source: the Alexandria database, functional GGA-PBE.

The value obtained for the formation enthalpy at 0 K is -0.336 eV per atom.

It has space group Cmcm (No. 63), with a = 8.4255 Å, b = 10.2590 Å, c = 5.0675 Å, α = 90.00°, β = 90.00° and γ = 90.00°. Symmetry generates all atoms from Ho at (0.0000, 0.1079, 0.2500), Ho at (0.2109, 0.3798, 0.2500), Mn at (0.0000, 0.3034, 0.7500), C at (0.0000, 0.1250, 0.7500) and C at (0.1971, 0.3731, 0.7500).

---

A relaxed TaIn2TePb crystal. Source: the Alexandria database, functional GGA-PBE.

The calculation puts the total energy at -3.77 eV per atom.

It has space group P4/mmm (No. 123), with a = 5.7864 Å, b = 5.7864 Å, c = 5.1684 Å, α = 90.00°, β = 90.00° and γ = 90.00°. Symmetry generates all atoms from Ta at (0.0000, 0.0000, 0.0000), In at (0.0000, 0.5000, 0.5000), Te at (0.0000, 0.0000, 0.5000) and Pb at (0.5000, 0.5000, 0.0000).

---

A relaxed Li2YAlF crystal. Source: the Alexandria database, functional GGA-PBE.

The calculation puts the total energy at -2.44 eV per atom.

It has space group P4/mmm (No. 123), with a = 6.3364 Å, b = 6.3364 Å, c = 5.7018 Å, α = 90.00°, β = 90.00° and γ = 90.00°. Symmetry generates all atoms from Li at (0.0000, 0.5000, 0.0000), Y at (0.0000, 0.0000, 0.0000), Al at (0.0000, 0.0000, 0.5000) and F at (0.5000, 0.5000, 0.5000).

---

A relaxed K2LaBe crystal. Source: the Alexandria database, functional GGA-PBE.

The value obtained for the formation enthalpy at 0 K is 0.402 eV per atom.

It has space group P4mm (No. 99), with a = 3.8142 Å, b = 3.8142 Å, c = 11.6144 Å, α = 90.00°, β = 90.00° and γ = 90.00°. Symmetry generates all atoms from K at (0.0000, 0.0000, 0.0000), K at (0.5000, 0.5000, 0.3661), La at (0.0000, 0.0000, 0.6791) and Be at (0.5000, 0.5000, 0.7936).

---

A relaxed Er8Ag3Sb2 crystal. Source: the Alexandria database, functional GGA-PBE.

The calculation puts the total energy at -4.39 eV per atom.

It has space group C2/m (No. 12), with a = 14.5380 Å, b = 8.2957 Å, c = 6.1106 Å, α = 90.00°, β = 90.91° and γ = 90.00°. Symmetry generates all atoms from Er at (0.0887, 0.0000, 0.3539), Er at (0.1150, 0.2054, 0.8530), Er at (0.1814, 0.5000, 0.4062), Ag at (0.0000, 0.3270, 0.5000), Ag at (0.0000, 0.5000, 0.0000) and Sb at (0.2350, 0.5000, 0.9178).

---

A relaxed ZnBI2O crystal. Source: the Alexandria database, functional GGA-PBE.

As for the energy above the most stable polymorph in this dataset: 0.000 eV per atom.

It has space group P4/mmm (No. 123), with a = 6.7270 Å, b = 6.7270 Å, c = 2.8324 Å, α = 90.00°, β = 90.00° and γ = 90.00°. Symmetry generates all atoms from Zn at (0.0000, 0.0000, 0.0000), B at (0.5000, 0.5000, 0.5000), I at (0.0000, 0.5000, 0.5000) and O at (0.5000, 0.5000, 0.0000).

---

A relaxed RbMn2H crystal. Source: the Alexandria database, functional GGA-PBE.

As for the energy above the most stable polymorph in this dataset: 0.000 eV per atom.

It has space group Fd-3m (No. 227, origin choice 2), with a = 8.4622 Å, b = 8.4622 Å, c = 8.4622 Å, α = 90.00°, β = 90.00° and γ = 90.00°. Symmetry generates all atoms from Rb at (0.1250, 0.1250, 0.1250), Mn at (0.0000, 0.0000, 0.5000) and H at (0.1250, 0.1250, 0.6250).

---

A relaxed Ta3Cd crystal. Source: the Alexandria database, functional GGA-PBE.

The value obtained for the formation enthalpy at 0 K is 0.305 eV per atom. As for the energy above the most stable polymorph in this dataset: 0.189 eV per atom.

It has space group P-6m2 (No. 187), with a = 2.9227 Å, b = 2.9227 Å, c = 10.3413 Å, α = 90.00°, β = 90.00° and γ = 120.00°. Symmetry generates all atoms from Ta at (0.0000, 0.0000, 0.0000), Ta at (0.3333, 0.6667, 0.2475) and Cd at (0.0000, 0.0000, 0.5000).

---

A relaxed Pr5NpSb6 crystal. Source: the Alexandria database, functional GGA-PBE.

The calculation puts the total energy at -6.15 eV per atom.

It has space group C2/m (No. 12), with a = 7.8477 Å, b = 13.5996 Å, c = 7.8521 Å, α = 90.00°, β = 109.47° and γ = 90.00°. Symmetry generates all atoms from Pr at (0.0000, 0.0000, 0.0000), Pr at (0.0000, 0.1658, 0.5000), Pr at (0.0000, 0.3308, 0.0000), Np at (0.0000, 0.5000, 0.5000), Sb at (0.2436, 0.5000, 0.2530) and Sb at (0.2448, 0.3367, 0.7455).

---

A relaxed CsCaCd3 crystal. Source: the Alexandria database, functional GGA-PBE.

The value obtained for the formation enthalpy at 0 K is 0.151 eV per atom. As for the energy above the most stable polymorph in this dataset: 0.000 eV per atom.

It has space group Pm-3m (No. 221), with a = 6.2116 Å, b = 6.2116 Å, c = 6.2116 Å, α = 90.00°, β = 90.00° and γ = 90.00°. Symmetry generates all atoms from Cs at (0.0000, 0.0000, 0.0000), Ca at (0.5000, 0.5000, 0.5000) and Cd at (0.0000, 0.5000, 0.5000).

---

no.,total moment (μB per formula unit)
1,0.00
2,0.00
3,0.00
4,4.32
5,0.00
6,0.00
7,0.81
8,2.94
9,0.17
10,0.00
11,0.44
12,7.01
13,0.00
14,3.78
15,0.00